# 1
Computed, not measured: a geometry-optimized Pm3Nd2In7 structure at the PBE level of DFT.

Lattice parameters (Å, degrees): 5.4890 5.2523 12.9662 101.69 90.00 90.00
Fractional positions:
1 In 0.5000 0.0763 0.1525
2 In 0.0000 0.7249 0.4498
3 Nd 0.0000 0.8556 0.7111
4 In 0.0000 0.2751 0.5502
5 Nd 0.0000 0.1444 0.2889
6 Pm 0.5000 0.6544 0.3088
7 Pm 0.5000 0.3456 0.6912
8 In 0.5000 0.9237 0.8475
9 In 0.0000 0.5713 0.1426
10 In 0.0000 0.0000 0.0000
11 Pm 0.5000 0.5000 0.0000
12 In 0.0000 0.4287 0.8574

- Mass density: 6.9 g/cm³
- N(E_F): 0.730 states/eV/atom
- SG: Cmmm (65)
- Total DFT energy (no corrections): -3.8246 eV per atom

# 2
Computed, not measured: a geometry-optimized PmNd3In3 structure at the PBE level of DFT.

Lattice parameters (Å, degrees): 9.5888 9.5888 9.5888 90.00 90.00 90.00
Fractional positions:
1 Nd 0.4261 0.5739 0.0739
2 In 0.9995 0.7511 0.6262
3 Pm 0.0751 0.5751 0.9249
4 Nd 0.8254 0.3254 0.1746
5 In 0.2511 0.8738 0.0005
6 Nd 0.1752 0.1752 0.1752
7 In 0.7489 0.3738 0.4995
8 Nd 0.6752 0.3248 0.8248
9 In 0.7511 0.6262 0.9995
10 In 0.2489 0.1262 0.5005
11 Pm 0.5751 0.9249 0.0751
12 In 0.1262 0.5005 0.2489
13 Nd 0.0739 0.4261 0.5739
14 Nd 0.3254 0.1746 0.8254
15 In 0.8738 0.0005 0.2511
16 Pm 0.4249 0.4249 0.4249
17 In 0.3738 0.4995 0.7489
18 In 0.4995 0.7489 0.3738
19 Nd 0.6746 0.6746 0.6746
20 Nd 0.9261 0.9261 0.9261
21 Nd 0.5739 0.0739 0.4261
22 In 0.6262 0.9995 0.7511
23 In 0.5005 0.2489 0.1262
24 In 0.0005 0.2511 0.8738
25 Pm 0.9249 0.0751 0.5751
26 Nd 0.3248 0.8248 0.6752
27 Nd 0.1746 0.8254 0.3254
28 Nd 0.8248 0.6752 0.3248

- Mass density: 6.9 g/cm³
- N(E_F): 1.185 states/eV/atom
- SG: P2_13 (198)
- Total DFT energy (no corrections): -4.2363 eV per atom

# 3
Computed, not measured: a geometry-optimized Pm3Nd2In4 structure at the PBE level of DFT.

Lattice parameters (Å, degrees): 5.4221 5.4265 10.4867 89.93 90.00 60.03
Fractional positions:
1 In 0.0001 0.9998 0.3497
2 Pm 0.3334 0.3333 0.4231
3 In 0.9999 0.0002 0.6503
4 Pm 0.0000 0.0000 0.0000
5 Pm 0.6666 0.6667 0.5769
6 Nd 0.3334 0.3332 0.7802
7 In 0.6668 0.6664 0.8995
8 Nd 0.6666 0.6668 0.2198
9 In 0.3332 0.3336 0.1005

- Mass density: 7.3 g/cm³
- N(E_F): 1.117 states/eV/atom
- SG: C2/m (12)
- Energy relative to the lowest polymorph listed for this composition: 0.0 meV per atom